(1)
HfTl2Br | PBE | optimized geometry

Cell lengths 7.5994, 7.5994, 7.5994 Å; angles 90.00, 90.00, 90.00 degrees
Last column: nearest neighbours and their distance in Å.
Space group Fm-3m (No. 225)
Unique sites:
Hf  0.0000  0.0000  0.0000 (multiplicity 4)  8 Tl 3.29
Tl  0.2500  0.2500  0.2500 (multiplicity 8)  4 Hf 3.29, 4 Br 3.29
Br  0.0000  0.0000  0.5000 (multiplicity 4)  8 Tl 3.29

Output
The crystal system is cubic. Its density of states at the Fermi level is 14.53 states/eV/cell. The calculation puts the formation energy (no corrections) at 431 meV per atom. As for the excess energy over the best structure of this formula in the dataset: 0.216 eV per atom.

(2)
Ce2HfUP4 | PBE | optimized geometry

Cell lengths 6.8061, 3.9264, 6.8659 Å; angles 90.00, 109.08, 90.00 degrees
Last column: nearest neighbours and their distance in Å.
Space group P2/m (No. 10)
Unique sites:
Ce  0.0000  0.0000  0.0000 (multiplicity 1)  6 P 2.83
Ce  0.5000  0.5000  0.0000 (multiplicity 1)  6 P 2.89
Hf  0.0000  0.5000  0.5000 (multiplicity 1)  6 P 2.68-2.69
U  0.5000  0.0000  0.5000 (multiplicity 1)  6 P 2.74-2.75
P  0.2365  0.0000  0.7288 (multiplicity 2)  2 Hf 2.69, 1 U 2.74, 3 Ce 2.83-2.89
P  0.2476  0.5000  0.2671 (multiplicity 2)  1 Hf 2.68, 2 U 2.75, 3 Ce 2.83-2.89

Output
Its formation energy is -1321 meV per atom. The crystal system is monoclinic. Its density of states at the Fermi level is 12.84 states/eV/cell.

(3)
RbLi2InPd | PBE | optimized geometry

Cell lengths 5.2277, 5.2277, 5.2023 Å; angles 90.00, 90.00, 90.00 degrees
Last column: nearest neighbours and their distance in Å.
Space group P4/mmm (No. 123)
Unique sites:
Rb  0.0000  0.0000  0.0000 (multiplicity 1)  8 Li 3.69, 4 In 3.70
Li  0.0000  0.5000  0.5000 (multiplicity 2)  2 Pd 2.61
In  0.5000  0.5000  0.0000 (multiplicity 1)  2 Pd 2.60
Pd  0.5000  0.5000  0.5000 (multiplicity 1)  2 In 2.60, 4 Li 2.61

Output
Its formation energy is -162 meV per atom. The crystal system is tetragonal. Its density of states at the Fermi level is 2.68 states/eV/cell.